A geometry-optimized CrNi4Pd structure. Source: Alexandria, functional PBE-GGA.

Values from the calculation:
Offset from the most stable computed form in eV/atom: 0.000
Theoretical density in g/cm3: 8.89
Total magnetization in μB per cell: 1.7

abc: 4.701 4.701 4.701
angles: 60.00 60.00 60.00
Element x y z (fractional)
1 Cr 0.000 0.000 0.000
2 Ni 0.375 0.375 0.375
3 Ni 0.375 0.375 0.876
4 Ni 0.375 0.876 0.375
5 Ni 0.876 0.375 0.375
6 Pd 0.750 0.750 0.750

A geometry-optimized Cr4Ni12Pd structure. Source: Alexandria, functional PBE-GGA.

Values from the calculation:
Theoretical density in g/cm3: 7.99
Total DFT energy (no corrections) in eV per cell: -108.53
Total magnetization in μB per cell: 11.1

abc: 6.502 6.502 6.502
angles: 109.47 109.47 109.47
Element x y z (fractional)
1 Cr 0.000 0.000 0.500
2 Cr 0.000 0.500 0.000
3 Cr 0.500 0.000 0.000
4 Cr 0.500 0.500 0.500
5 Ni 0.000 0.312 0.312
6 Ni 0.000 0.688 0.688
7 Ni 0.250 0.500 0.750
8 Ni 0.250 0.750 0.500
9 Ni 0.312 0.000 0.312
10 Ni 0.312 0.312 0.000
11 Ni 0.500 0.250 0.750
12 Ni 0.500 0.750 0.250
13 Ni 0.688 0.000 0.688
14 Ni 0.688 0.688 0.000
15 Ni 0.750 0.250 0.500
16 Ni 0.750 0.500 0.250
17 Pd 0.000 0.000 0.000

A geometry-optimized CrNiPd3 structure. Source: Alexandria, functional PBE-GGA.

Values from the calculation:
Offset from the most stable computed form in eV/atom: 0.235
Theoretical density in g/cm3: 9.17
Total magnetization in μB per cell: 4.8

abc: 4.129 5.459 6.905
angles: 90.00 90.00 90.00
Element x y z (fractional)
1 Cr 0.250 0.250 0.179
2 Cr 0.750 0.750 0.821
3 Ni 0.250 0.750 0.422
4 Ni 0.750 0.250 0.578
5 Pd 0.250 0.010 0.713
6 Pd 0.250 0.490 0.713
7 Pd 0.250 0.750 0.062
8 Pd 0.750 0.250 0.938
9 Pd 0.750 0.510 0.287
10 Pd 0.750 0.990 0.287

A geometry-optimized CrNi3Pd structure. Source: Alexandria, functional PBE-GGA.

Values from the calculation:
Offset from the most stable computed form in eV/atom: 0.976
Theoretical density in g/cm3: 7.54
Total magnetization in μB per cell: 0.0

abc: 4.192 4.192 4.192
angles: 90.00 90.00 90.00
Element x y z (fractional)
1 Cr 0.000 0.000 0.000
2 Ni 0.000 0.000 0.500
3 Ni 0.000 0.500 0.000
4 Ni 0.500 0.000 0.000
5 Pd 0.500 0.500 0.500

A geometry-optimized CrNiPd14 structure. Source: Alexandria, functional PBE-GGA.

Values from the calculation:
Theoretical density in g/cm3: 10.99
Total DFT energy (no corrections) in eV per cell: -88.05
Total magnetization in μB per cell: 4.4

abc: 9.071 5.534 5.534
angles: 60.56 90.00 90.00
Element x y z (fractional)
1 Cr 0.000 0.000 0.000
2 Ni 0.000 0.500 0.500
3 Pd 0.000 0.004 0.504
4 Pd 0.000 0.504 0.004
5 Pd 0.239 0.329 0.829
6 Pd 0.239 0.829 0.329
7 Pd 0.247 0.332 0.332
8 Pd 0.247 0.832 0.832
9 Pd 0.500 0.161 0.161
10 Pd 0.500 0.162 0.661
11 Pd 0.500 0.661 0.162
12 Pd 0.500 0.661 0.661
13 Pd 0.753 0.332 0.332
14 Pd 0.753 0.832 0.832
15 Pd 0.761 0.329 0.829
16 Pd 0.761 0.829 0.329

A geometry-optimized CrNi2Pd7 structure. Source: Alexandria, functional PBE-GGA.

Values from the calculation:
Theoretical density in g/cm3: 8.30
Total DFT energy (no corrections) in eV per cell: -52.51
Total magnetization in μB per cell: 0.2

abc: 7.126 7.126 4.137
angles: 90.00 90.00 119.40
Element x y z (fractional)
1 Cr 0.000 0.000 0.000
2 Ni 0.305 0.695 0.500
3 Ni 0.695 0.305 0.500
4 Pd 0.072 0.300 0.500
5 Pd 0.208 0.792 0.000
6 Pd 0.300 0.072 0.500
7 Pd 0.500 0.500 0.500
8 Pd 0.700 0.928 0.500
9 Pd 0.792 0.208 0.000
10 Pd 0.928 0.700 0.500

A geometry-optimized Cr2Ni2Pd structure. Source: Alexandria, functional PBE-GGA.

Values from the calculation:
Offset from the most stable computed form in eV/atom: 0.000
Theoretical density in g/cm3: 8.91
Total magnetization in μB per cell: 0.0

abc: 6.883 6.883 2.580
angles: 90.00 90.00 90.00
Element x y z (fractional)
1 Cr 0.171 0.329 0.000
2 Cr 0.329 0.829 0.000
3 Cr 0.671 0.171 0.000
4 Cr 0.829 0.671 0.000
5 Ni 0.124 0.624 0.500
6 Ni 0.376 0.124 0.500
7 Ni 0.624 0.876 0.500
8 Ni 0.876 0.376 0.500
9 Pd 0.000 0.000 0.500
10 Pd 0.500 0.500 0.500

A geometry-optimized CrNi2Pd structure. Source: Alexandria, functional PBE-GGA.

Values from the calculation:
Theoretical density in g/cm3: 9.03
Total DFT energy (no corrections) in eV per cell: -25.86
Total magnetization in μB per cell: 2.6

abc: 4.155 4.155 4.155
angles: 60.00 60.00 60.00
Element x y z (fractional)
1 Cr 0.000 0.000 0.000
2 Ni 0.250 0.250 0.250
3 Ni 0.750 0.750 0.750
4 Pd 0.500 0.500 0.500

A geometry-optimized CrNi2Pd8 structure. Source: Alexandria, functional PBE-GGA.

Values from the calculation:
Theoretical density in g/cm3: 9.35
Total DFT energy (no corrections) in eV per cell: -59.33
Total magnetization in μB per cell: 0.3

abc: 6.517 6.517 4.446
angles: 101.16 101.16 83.56
Element x y z (fractional)
1 Cr 0.000 0.000 0.000
2 Ni 0.129 0.129 0.534
3 Ni 0.871 0.871 0.466
4 Pd 0.156 0.665 0.200
5 Pd 0.257 0.257 0.114
6 Pd 0.335 0.844 0.800
7 Pd 0.414 0.414 0.702
8 Pd 0.586 0.586 0.298
9 Pd 0.665 0.156 0.200
10 Pd 0.743 0.743 0.886
11 Pd 0.844 0.335 0.800

A geometry-optimized CrNi2Pd4 structure. Source: Alexandria, functional PBE-GGA.

Values from the calculation:
Theoretical density in g/cm3: 8.69
Total DFT energy (no corrections) in eV per cell: -38.26
Total magnetization in μB per cell: 5.3

abc: 6.191 6.191 6.191
angles: 135.81 135.81 64.28
Element x y z (fractional)
1 Cr 0.000 0.000 0.000
2 Ni 0.380 0.380 0.000
3 Ni 0.620 0.620 0.000
4 Pd 0.000 0.500 0.500
5 Pd 0.250 0.750 0.500
6 Pd 0.500 0.000 0.500
7 Pd 0.750 0.250 0.500